No. 1
Density functional theory data (meta-GGA SCAN) for a PBEsol-optimized structure of ScAl5.

density: 2.97 g/cm3
energy of formation from the pure elements: -1.484 eV per formula unit
energy above the most stable polymorph in this dataset: 0 meV/atom
symmetry: Cmmm (65)
calculated volume: 16.77 Å³/atom
DFT total energy: -9.08 eV/atom

Structure (extended XYZ):
```
6
Lattice="-3.642 -0.659 1.686 -0.763 -2.853 -2.764 4.287 -3.891 2.833" Properties=species:S:1:pos:R:3 pbc="T T T"
Sc -1.821 -0.330 0.843
Al 1.248 -4.215 1.047
Al 0.834 -1.428 1.244
Al -0.381 -1.427 -1.382
Al -0.189 -3.122 3.276
Al -1.366 -3.189 0.709
```

No. 2
Density functional theory data (meta-GGA SCAN) for a PBEsol-optimized structure of FePOs2.

density: 15.11 g/cm3
energy of formation from the pure elements: 0.488 eV per formula unit
symmetry: R-3m (166)
calculated volume: 12.84 Å³/atom
DFT total energy: -42.95 eV/atom

Structure (extended XYZ):
```
4
Lattice="2.758 0.000 0.000 1.379 2.388 0.000 1.379 0.796 7.795" Properties=species:S:1:pos:R:3 pbc="T T T"
Fe 0.000 0.000 0.000
Os 1.379 0.796 2.061
Os 4.137 2.388 5.734
P 2.758 1.592 3.898
```

No. 3
Density functional theory data (meta-GGA SCAN) for a PBEsol-optimized structure of Hg2TeRu.

density: 12.20 g/cm3
symmetry: Immm (71)
calculated volume: 21.43 Å³/atom
DFT total energy: -51.74 eV/atom

Structure (extended XYZ):
```
4
Lattice="3.067 0.000 0.000 0.000 4.330 0.000 -1.533 -2.165 6.455" Properties=species:S:1:pos:R:3 pbc="T T T"
Hg 1.533 2.165 2.484
Hg 0.000 0.000 3.972
Ru 0.000 2.165 0.000
Te 1.533 0.000 0.000
```

No. 4
Density functional theory data (meta-GGA SCAN) for a PBEsol-optimized structure of K2TaSe.

density: 5.72 g/cm3
symmetry: Cmmm (65)
calculated volume: 24.55 Å³/atom
DFT total energy: -25.32 eV/atom

Structure (extended XYZ):
```
4
Lattice="-2.829 0.830 -0.377 -0.256 -2.794 0.980 -0.320 3.797 10.747" Properties=species:S:1:pos:R:3 pbc="T T T"
K -0.090 1.065 3.014
K -0.231 2.732 7.733
Se -1.702 0.916 5.674
Ta -1.542 -0.982 0.301
```

No. 5
Density functional theory data (meta-GGA SCAN) for a PBEsol-optimized structure of CsSrCl2.

density: 2.57 g/cm3
symmetry: R-3m (166)
calculated volume: 47.16 Å³/atom
DFT total energy: -20.91 eV/atom

Structure (extended XYZ):
```
4
Lattice="-2.800 3.937 -0.080 -3.952 0.211 2.772 2.793 5.109 7.805" Properties=species:S:1:pos:R:3 pbc="T T T"
Cs -1.980 4.628 5.249
Sr 0.000 0.000 0.000
Cl -5.276 5.239 4.714
Cl 1.317 4.018 5.783
```

No. 6
Density functional theory data (meta-GGA SCAN) for a PBEsol-optimized structure of Ni2Pt.

density: 14.34 g/cm3
energy of formation from the pure elements: -0.229 eV per formula unit
symmetry: I4/mmm (139)
calculated volume: 12.06 Å³/atom
DFT total energy: -34.26 eV/atom

Structure (extended XYZ):
```
3
Lattice="2.643 0.000 0.000 0.000 2.643 0.000 -1.322 -1.322 5.181" Properties=species:S:1:pos:R:3 pbc="T T T"
Ni 1.322 1.322 1.809
Ni 0.000 0.000 3.372
Pt 0.000 0.000 0.000
```

No. 7
Density functional theory data (meta-GGA SCAN) for a PBEsol-optimized structure of Ca2H2Br.

density: 3.04 g/cm3
symmetry: I4/mmm (139)
calculated volume: 17.69 Å³/atom
DFT total energy: -10.08 eV/atom

Structure (extended XYZ):
```
5
Lattice="3.716 0.000 0.000 0.000 3.716 0.000 -1.858 -1.858 6.409" Properties=species:S:1:pos:R:3 pbc="T T T"
H 0.000 1.858 3.204
H 1.858 0.000 3.204
Ca 0.000 0.000 4.418
Ca 1.858 1.858 1.990
Br 0.000 0.000 0.000
```

No. 8
Density functional theory data (meta-GGA SCAN) for a PBEsol-optimized structure of MgH2.

density: 1.66 g/cm3
symmetry: Pbca (61)
calculated volume: 8.80 Å³/atom
DFT total energy: -4.19 eV/atom

Structure (extended XYZ):
```
24
Lattice="-2.266 -4.111 -0.054 0.979 -0.476 -4.762 7.854 -4.355 2.050" Properties=species:S:1:pos:R:3 pbc="T T T"
H 5.335 -7.278 -2.643
H 4.861 -4.383 0.894
H 0.376 -3.856 -1.499
H 2.562 -2.369 -2.285
H 1.232 -1.665 -0.123
H 1.706 -4.560 -3.661
H 6.191 -5.087 -1.267
H 4.005 -6.573 -0.482
H 6.758 -6.381 0.818
H 2.632 -6.742 -2.586
H 0.924 -0.498 -3.475
H 2.819 -4.264 -0.290
H -0.191 -2.562 -3.584
H 3.935 -2.201 -0.180
H 5.642 -8.445 0.708
H 3.748 -4.678 -2.476
Mg 5.806 -7.106 -0.757
Mg 4.775 -3.855 -0.982
Mg -0.801 -3.684 0.048
Mg 3.353 -3.241 -3.841
Mg 0.761 -1.837 -2.009
Mg 1.791 -5.088 -1.784
Mg 7.367 -5.259 -2.814
Mg 3.214 -5.702 1.075
```

No. 9
Density functional theory data (meta-GGA SCAN) for a PBEsol-optimized structure of KTcAs2.

density: 6.18 g/cm3
energy of formation from the pure elements: 2.305 eV per formula unit
energy above the most stable polymorph in this dataset: 527 meV/atom
symmetry: P4/mmm (123)
calculated volume: 19.28 Å³/atom
DFT total energy: -20.37 eV/atom

Structure (extended XYZ):
```
4
Lattice="-2.429 -0.685 -1.169 1.966 -4.699 -1.333 -1.647 -1.990 4.588" Properties=species:S:1:pos:R:3 pbc="T T T"
As -0.824 -0.995 2.294
As 0.983 -2.350 -0.666
K -1.055 -3.687 1.043
Tc -1.214 -0.342 -0.585
```

No. 10
Density functional theory data (meta-GGA SCAN) for a PBEsol-optimized structure of Y2TeAu.

density: 8.64 g/cm3
symmetry: P4/mmm (123)
calculated volume: 24.14 Å³/atom
DFT total energy: -41.63 eV/atom

Structure (extended XYZ):
```
4
Lattice="-1.988 -1.957 2.500 1.569 -3.169 -1.233 5.071 0.722 4.596" Properties=species:S:1:pos:R:3 pbc="T T T"
Au -0.210 -2.563 0.633
Te 2.326 -2.202 2.931
Y 3.857 0.548 3.497
Y -0.774 -1.784 3.599
```

No. 11
Density functional theory data (meta-GGA SCAN) for a PBEsol-optimized structure of Li3Pt.

density: 6.66 g/cm3
energy of formation from the pure elements: -1.718 eV per formula unit
energy above the most stable polymorph in this dataset: 58 meV/atom
symmetry: Pm-3m (221)
calculated volume: 13.47 Å³/atom
DFT total energy: -19.77 eV/atom

Structure (extended XYZ):
```
4
Lattice="-2.407 0.837 2.788 -1.513 -3.450 -0.270 2.487 -1.289 2.534" Properties=species:S:1:pos:R:3 pbc="T T T"
Pt -0.717 -1.951 2.525
Li 1.243 -0.645 1.267
Li -0.757 -1.725 -0.135
Li -1.203 0.418 1.394
```

No. 12
Density functional theory data (meta-GGA SCAN) for a PBEsol-optimized structure of LaRe4.

density: 15.04 g/cm3
energy of formation from the pure elements: -0.169 eV per formula unit
symmetry: I4/mmm (139)
calculated volume: 19.51 Å³/atom
DFT total energy: -65.53 eV/atom

Structure (extended XYZ):
```
5
Lattice="-2.459 0.257 -3.521 2.378 -3.052 -1.883 -3.156 -2.305 4.665" Properties=species:S:1:pos:R:3 pbc="T T T"
Re -0.409 -3.377 0.040
Re -2.396 -2.774 1.471
Re -0.842 -2.325 -2.211
Re -2.828 -1.723 -0.779
La 0.000 0.000 0.000
```

No. 13
Density functional theory data (meta-GGA SCAN) for a PBEsol-optimized structure of La4MgCo.

density: 6.30 g/cm3
energy of formation from the pure elements: -0.479 eV per formula unit
symmetry: F-43m (216)
calculated volume: 28.09 Å³/atom
DFT total energy: -32.53 eV/atom

Structure (extended XYZ):
```
24
Lattice="9.842 0.000 0.000 4.921 8.523 0.000 4.921 2.841 8.036" Properties=species:S:1:pos:R:3 pbc="T T T"
Co 7.080 1.594 1.127
Co 4.921 2.841 4.654
Co 2.761 1.594 1.127
Co 4.921 5.335 1.127
La 16.645 9.610 4.489
La 12.880 7.436 7.564
La 14.763 6.349 4.489
La 14.763 10.697 7.564
La 16.645 7.436 7.564
La 12.880 9.610 4.489
La 12.914 7.456 1.510
La 6.770 3.908 6.526
La 9.842 2.135 1.510
La 9.842 9.229 6.526
La 12.914 3.908 6.526
La 6.770 7.456 1.510
La 12.923 3.903 2.760
La 9.842 5.682 7.792
La 6.760 3.903 2.760
La 9.842 9.241 2.760
Mg 8.295 6.575 4.649
Mg 9.842 5.682 2.124
Mg 11.388 6.575 4.649
Mg 9.842 3.896 4.649
```